DFT (PBEsol) results for a relaxed CaCoTe2 crystal. Values from VASP.

Calculated values
Total magnetization ... 2.3 μB/cell
Electronic total energy ... -0.3244 Ry per atom
Uncorrected formation energy ... -0.18 eV/atom

Structure (Quantum ESPRESSO input):
```
&SYSTEM
  ibrav = 0, nat = 4, ntyp = 3
/
ATOMIC_SPECIES
Ca 40.08 Ca.upf
Te 127.60 Te.upf
Co 58.93 Co.upf
CELL_PARAMETERS angstrom
5.058 0.000 0.000
2.529 4.380 0.000
2.529 1.460 4.130
ATOMIC_POSITIONS crystal
Ca 0.000 0.000 0.000
Te 0.250 0.250 0.250
Te 0.750 0.750 0.750
Co 0.500 0.500 0.500
```

=====

DFT (PBEsol) results for a relaxed CaCoTe2 crystal. Values from VASP.

Calculated values
Total magnetization ... 1.4 μB/cell
Electronic total energy ... -0.3546 Ry per atom
Uncorrected formation energy ... -0.59 eV/atom

Structure (Quantum ESPRESSO input):
```
&SYSTEM
  ibrav = 0, nat = 8, ntyp = 3
/
ATOMIC_SPECIES
Ca 40.08 Ca.upf
Te 127.60 Te.upf
Co 58.93 Co.upf
CELL_PARAMETERS angstrom
-5.568 -2.193 -2.074
1.944 -2.332 5.559
-0.705 6.242 0.808
ATOMIC_POSITIONS crystal
Ca 0.750 0.250 0.500
Ca 0.500 0.500 0.000
Te 0.957 0.875 0.582
Te 0.293 0.375 0.418
Te 0.625 0.043 0.918
Te 0.125 0.707 0.082
Co 0.250 0.750 0.500
Co 0.000 0.000 0.000
```

=====

DFT (PBEsol) results for a relaxed CaCo2Te crystal. Values from VASP.

Calculated values
Total magnetization ... 1.4 μB/cell
Electronic total energy ... -0.3776 Ry per atom
Uncorrected formation energy ... 0.15 eV/atom

Structure (Quantum ESPRESSO input):
```
&SYSTEM
  ibrav = 0, nat = 4, ntyp = 3
/
ATOMIC_SPECIES
Ca 40.08 Ca.upf
Te 127.60 Te.upf
Co 58.93 Co.upf
CELL_PARAMETERS angstrom
3.538 0.000 0.000
0.000 4.255 0.000
0.000 0.000 4.255
ATOMIC_POSITIONS crystal
Ca 0.500 0.500 0.500
Te 0.500 0.000 0.000
Co 0.000 0.500 0.000
Co 0.000 0.000 0.500
```

=====

DFT (PBEsol) results for a relaxed CaCoTe2 crystal. Values from VASP.

Calculated values
Total magnetization ... 1.0 μB/cell
Electronic total energy ... -0.3521 Ry per atom
Uncorrected formation energy ... -0.56 eV/atom

Structure (Quantum ESPRESSO input):
```
&SYSTEM
  ibrav = 0, nat = 4, ntyp = 3
/
ATOMIC_SPECIES
Ca 40.08 Ca.upf
Te 127.60 Te.upf
Co 58.93 Co.upf
CELL_PARAMETERS angstrom
4.013 0.000 0.000
2.007 3.475 0.000
2.007 1.158 6.727
ATOMIC_POSITIONS crystal
Ca 0.500 0.500 0.500
Te 0.730 0.730 0.811
Te 0.270 0.270 0.189
Co 0.000 0.000 0.000
```

=====

DFT (PBEsol) results for a relaxed CaCo2Te crystal. Values from VASP.

Calculated values
Total magnetization ... 2.3 μB/cell
Electronic total energy ... -0.3832 Ry per atom
Uncorrected formation energy ... 0.07 eV/atom

Structure (Quantum ESPRESSO input):
```
&SYSTEM
  ibrav = 0, nat = 4, ntyp = 3
/
ATOMIC_SPECIES
Ca 40.08 Ca.upf
Te 127.60 Te.upf
Co 58.93 Co.upf
CELL_PARAMETERS angstrom
-1.151 -0.638 3.886
-0.374 -4.044 -0.775
4.704 -0.681 1.282
ATOMIC_POSITIONS crystal
Ca 0.500 0.500 0.500
Te 0.500 0.000 0.000
Co 0.000 0.000 0.720
Co 0.000 0.000 0.280
```

=====

DFT (PBEsol) results for a relaxed CaCoTe4 crystal. Values from VASP.

Calculated values
Total magnetization ... 2.4 μB/cell
Electronic total energy ... -0.2582 Ry per atom
Uncorrected formation energy ... 0.48 eV/atom

Structure (Quantum ESPRESSO input):
```
&SYSTEM
  ibrav = 0, nat = 6, ntyp = 3
/
ATOMIC_SPECIES
Ca 40.08 Ca.upf
Te 127.60 Te.upf
Co 58.93 Co.upf
CELL_PARAMETERS angstrom
-2.856 4.114 -3.768
-3.210 -2.023 -4.989
-6.257 0.373 -0.064
ATOMIC_POSITIONS crystal
Ca 0.750 0.750 0.750
Te 0.374 0.374 0.374
Te 0.374 0.374 0.878
Te 0.878 0.374 0.374
Te 0.374 0.878 0.374
Co 0.000 0.000 0.000
```

=====

DFT (PBEsol) results for a relaxed CaCo2Te crystal. Values from VASP.

Calculated values
Total magnetization ... 0.0 μB/cell
Electronic total energy ... -0.3969 Ry per atom
Uncorrected formation energy ... -0.12 eV/atom

Structure (Quantum ESPRESSO input):
```
&SYSTEM
  ibrav = 0, nat = 4, ntyp = 3
/
ATOMIC_SPECIES
Ca 40.08 Ca.upf
Te 127.60 Te.upf
Co 58.93 Co.upf
CELL_PARAMETERS angstrom
4.197 0.000 0.000
2.099 3.635 0.000
2.099 1.212 4.914
ATOMIC_POSITIONS crystal
Ca 0.500 0.500 0.500
Te 0.000 0.000 0.000
Co 0.691 0.691 0.926
Co 0.309 0.309 0.074
```

=====

DFT (PBEsol) results for a relaxed CaCo2Te crystal. Values from VASP.

Calculated values
Total magnetization ... 2.7 μB/cell
Electronic total energy ... -0.3617 Ry per atom
Uncorrected formation energy ... 0.36 eV/atom

Structure (Quantum ESPRESSO input):
```
&SYSTEM
  ibrav = 0, nat = 4, ntyp = 3
/
ATOMIC_SPECIES
Ca 40.08 Ca.upf
Te 127.60 Te.upf
Co 58.93 Co.upf
CELL_PARAMETERS angstrom
-2.650 -2.309 2.969
-1.315 -4.303 -0.956
1.749 -3.523 2.385
ATOMIC_POSITIONS crystal
Ca 0.500 0.500 0.500
Te 0.250 0.250 0.250
Co 0.000 0.000 0.000
Co 0.750 0.750 0.750
```

=====

DFT (PBEsol) results for a relaxed CaTiCo3 crystal. Values from VASP.

Calculated values
Total magnetization ... 0.9 μB/cell
Electronic total energy ... -0.4501 Ry per atom
Energy of formation from the pure elements ... 0.61 eV/atom

Structure (Quantum ESPRESSO input):
```
&SYSTEM
  ibrav = 0, nat = 5, ntyp = 3
/
ATOMIC_SPECIES
Ca 40.08 Ca.upf
Co 58.93 Co.upf
Ti 47.87 Ti.upf
CELL_PARAMETERS angstrom
4.328 0.000 0.000
0.000 4.328 0.000
0.000 0.000 4.328
ATOMIC_POSITIONS crystal
Ca 0.500 0.500 0.500
Co 0.000 0.500 0.000
Co 0.000 0.000 0.500
Co 0.500 0.000 0.000
Ti 0.000 0.000 0.000
```

=====

DFT (PBEsol) results for a relaxed Ca3TlCo crystal. Values from VASP.

Calculated values
Total magnetization ... 0.0 μB/cell
Electronic total energy ... -0.2398 Ry per atom
Energy of formation from the pure elements ... 0.09 eV/atom

Structure (Quantum ESPRESSO input):
```
&SYSTEM
  ibrav = 0, nat = 5, ntyp = 3
/
ATOMIC_SPECIES
Tl 204.38 Tl.upf
Co 58.93 Co.upf
Ca 40.08 Ca.upf
CELL_PARAMETERS angstrom
-1.835 3.602 3.337
1.128 -3.159 4.029
4.779 2.128 0.331
ATOMIC_POSITIONS crystal
Tl 0.500 0.500 0.500
Co 0.000 0.000 0.000
Ca 0.000 0.500 0.000
Ca 0.000 0.000 0.500
Ca 0.500 0.000 0.000
```

=====

DFT (PBEsol) results for a relaxed Ca4TlCo crystal. Values from VASP.

Calculated values
Total magnetization ... 0.6 μB/cell
Electronic total energy ... -0.1777 Ry per atom
Energy of formation from the pure elements ... 0.73 eV/atom

Structure (Quantum ESPRESSO input):
```
&SYSTEM
  ibrav = 0, nat = 6, ntyp = 3
/
ATOMIC_SPECIES
Ca 40.08 Ca.upf
Co 58.93 Co.upf
Tl 204.38 Tl.upf
CELL_PARAMETERS angstrom
-2.337 -5.754 -0.778
1.183 -3.173 -5.264
3.806 -4.968 0.128
ATOMIC_POSITIONS crystal
Ca 0.375 0.375 0.375
Ca 0.375 0.375 0.874
Ca 0.874 0.375 0.375
Ca 0.375 0.874 0.375
Co 0.750 0.750 0.750
Tl 0.000 0.000 0.000
```

=====

DFT (PBEsol) results for a relaxed CaCoW3 crystal. Values from VASP.

Calculated values
Total magnetization ... 0.0 μB/cell
Electronic total energy ... -0.6516 Ry per atom
Energy of formation from the pure elements ... 1.39 eV/atom

Structure (Quantum ESPRESSO input):
```
&SYSTEM
  ibrav = 0, nat = 5, ntyp = 3
/
ATOMIC_SPECIES
Ca 40.08 Ca.upf
Co 58.93 Co.upf
W 183.84 W.upf
CELL_PARAMETERS angstrom
4.542 0.000 0.000
0.000 4.542 0.000
0.000 0.000 4.542
ATOMIC_POSITIONS crystal
Ca 0.500 0.500 0.500
Co 0.000 0.000 0.000
W 0.000 0.500 0.000
W 0.000 0.000 0.500
W 0.500 0.000 0.000
```